Ba2In3SbAu12 | PBE | relaxed

a = 9.2085 Å, b = 9.2085 Å, c = 9.2085 Å
α = 58.33°, β = 58.33°, γ = 58.33°
Last column: nearest neighbours and their distance in Å.
Sites, in units of the cell vectors:
Ba1 0.1096 0.1096 0.1096  6 Au 3.40-3.48
Ba2 0.8904 0.8904 0.8904  6 Au 3.40-3.48
In1 0.0000 0.5000 0.5000  6 Au 2.78-2.98
In2 0.5000 0.0000 0.5000  6 Au 2.78-2.98
In3 0.5000 0.5000 0.0000  6 Au 2.78-2.98
Sb1 0.5000 0.5000 0.5000  6 Au 2.67
Au1 0.1377 0.6269 0.6269  1 Sb 2.67, 2 Au 2.75, 1 In 2.98
Au2 0.1475 0.1475 0.5016  2 Au 2.75, 2 In 2.78
Au3 0.1475 0.5016 0.1475  2 Au 2.75, 2 In 2.78
Au4 0.3732 0.3732 0.8623  1 Sb 2.67, 2 Au 2.75, 1 In 2.98
Au5 0.3732 0.8623 0.3732  1 Sb 2.67, 2 Au 2.75, 1 In 2.98
Au6 0.4984 0.8525 0.8525  2 Au 2.75, 2 In 2.78
Au7 0.5016 0.1475 0.1475  2 Au 2.75, 2 In 2.78
Au8 0.6269 0.1377 0.6269  1 Sb 2.67, 2 Au 2.75, 1 In 2.98
Au9 0.6269 0.6268 0.1377  1 Sb 2.67, 2 Au 2.75, 1 In 2.98
Au10 0.8525 0.4984 0.8525  2 Au 2.75, 2 In 2.78
Au11 0.8525 0.8525 0.4984  2 Au 2.75, 2 In 2.78
Au12 0.8623 0.3732 0.3731  1 Sb 2.67, 2 Au 2.75, 1 In 2.98

final energy: -58.20 eV/cell
formation energy without anion corrections: -149 meV/atom